A plane-wave DFT calculation with PBE was carried out for a geometry-optimized RbLa2BSe structure.

Computed properties:
Total DFT energy (no corrections) ... -2.561 eV per atom

Cell: 5.7212 5.5150 5.7212 Å, 90.00 90.00 90.00°
Element x y z (fractional)
La: 0.0000 0.0000 0.5000
La: 0.5000 0.0000 0.0000
B: 0.5000 0.5000 0.5000
Se: 0.0000 0.5000 0.0000
Rb: 0.0000 0.0000 0.0000


A plane-wave DFT calculation with PBE was carried out for a geometry-optimized Sr3Mg9Cu2 structure.

Computed properties:
Total DFT energy (no corrections) ... -1.971 eV per atom

Cell: 4.9477 9.1506 9.1506 Å, 75.07 74.31 74.31°
Element x y z (fractional)
Mg: 0.8854 0.3952 0.8341
Mg: 0.3384 0.0152 0.3080
Mg: 0.3384 0.3080 0.0152
Mg: 0.1146 0.1659 0.6048
Mg: 0.0000 0.5000 0.5000
Mg: 0.1146 0.6048 0.1659
Mg: 0.8854 0.8341 0.3952
Mg: 0.6616 0.9848 0.6920
Mg: 0.6616 0.6920 0.9848
Sr: 0.0000 0.0000 0.0000
Sr: 0.6869 0.3131 0.3131
Sr: 0.3131 0.6869 0.6869
Cu: 0.5000 0.2975 0.7025
Cu: 0.5000 0.7025 0.2975


A plane-wave DFT calculation with PBE was carried out for a geometry-optimized MgBeSb2 structure.

Computed properties:
Total DFT energy (no corrections) ... -3.062 eV per atom

Cell: 6.4156 5.0938 3.6010 Å, 80.73 72.22 121.45°
Element x y z (fractional)
Sb: 0.0000 0.0000 0.0000
Sb: 0.5000 0.0000 0.5000
Be: 0.0000 0.5000 0.5000
Mg: 0.5000 0.5000 0.0000


A plane-wave DFT calculation with PBE was carried out for a geometry-optimized KGa3S structure.

Computed properties:
Total DFT energy (no corrections) ... -2.689 eV per atom

Cell: 5.3155 5.3155 5.3155 Å, 90.00 90.00 90.00°
Element x y z (fractional)
S: 0.0000 0.0000 0.0000
Ga: 0.5000 0.0000 0.0000
Ga: 0.0000 0.0000 0.5000
Ga: 0.0000 0.5000 0.0000
K: 0.5000 0.5000 0.5000


A plane-wave DFT calculation with PBE was carried out for a geometry-optimized TaNb2V2Ru5 structure.

Computed properties:
Total DFT energy (no corrections) ... -9.765 eV per atom

Cell: 3.6822 9.1850 9.1850 Å, 90.00 90.00 90.00°
Element x y z (fractional)
Ru: 0.5000 0.9346 0.2046
Ru: 0.5000 0.7954 0.9346
Ru: 0.5000 0.7046 0.4346
Ru: 0.5000 0.5654 0.7046
Ru: 0.5000 0.2046 0.0654
Ru: 0.5000 0.5000 0.0000
Ru: 0.5000 0.0000 0.5000
Ru: 0.5000 0.0654 0.7954
Ru: 0.5000 0.4346 0.2954
Ru: 0.5000 0.2954 0.5654
Ta: 0.0000 0.0000 0.0000
Ta: 0.0000 0.5000 0.5000
Nb: 0.0000 0.8237 0.6763
Nb: 0.0000 0.3237 0.8237
Nb: 0.0000 0.1763 0.3237
Nb: 0.0000 0.6763 0.1763
V: 0.0000 0.8757 0.3757
V: 0.0000 0.6243 0.8757
V: 0.0000 0.1243 0.6243
V: 0.0000 0.3757 0.1243


A plane-wave DFT calculation with PBE was carried out for a geometry-optimized CoRe2Rh structure.

Computed properties:
Total DFT energy (no corrections) ... -9.830 eV per atom

Cell: 2.6816 2.6816 7.5650 Å, 90.00 90.00 90.00°
Element x y z (fractional)
Re: 0.0000 0.0000 0.5142
Re: 0.0000 0.0000 0.9858
Co: 0.5000 0.5000 0.7500
Rh: 0.5000 0.5000 0.2500


A plane-wave DFT calculation with PBE was carried out for a geometry-optimized AcPm2Nd7 structure.

Computed properties:
Total DFT energy (no corrections) ... -4.625 eV per atom

Cell: 6.8699 9.3381 10.3617 Å, 140.42 119.94 61.99°
Element x y z (fractional)
Pm: 0.2241 0.0762 0.4417
Pm: 0.7759 0.9238 0.5583
Nd: 0.8803 0.4271 0.7716
Nd: 0.1197 0.5729 0.2284
Nd: 0.7005 0.4866 0.4267
Nd: 0.6412 0.9708 0.1984
Nd: 0.2995 0.5134 0.5733
Nd: 0.5000 0.5000 0.0000
Nd: 0.3588 0.0292 0.8016
Ac: 0.0000 0.0000 0.0000


A plane-wave DFT calculation with PBE was carried out for a geometry-optimized UZn2Au2 structure.

Computed properties:
Total DFT energy (no corrections) ... -4.198 eV per atom

Cell: 4.7834 7.9165 6.4283 Å, 90.00 90.00 52.78°
Element x y z (fractional)
Zn: 0.8053 0.1946 0.5260
Zn: 0.1948 0.3054 0.0260
Zn: 0.1947 0.8054 0.4740
Zn: 0.8052 0.6946 0.9740
Au: 0.5377 0.4625 0.2098
Au: 0.4623 0.5375 0.7902
Au: 0.5377 0.9626 0.2902
Au: 0.4623 0.0374 0.7098
U: 0.0000 0.5000 0.5000
U: 0.0000 0.0000 0.0000


A plane-wave DFT calculation with PBE was carried out for a geometry-optimized CsPdBr2 structure.

Computed properties:
Total DFT energy (no corrections) ... -2.718 eV per atom

Cell: 5.6165 5.6165 5.6165 Å, 60.00 60.00 60.00°
Element x y z (fractional)
Pd: 0.0000 0.0000 0.0000
Cs: 0.5000 0.5000 0.5000
Br: 0.7500 0.7500 0.7500
Br: 0.2500 0.2500 0.2500


V for the records above, in order: 181 376 88 150 311 54 363 194 125 Å³ per cell